# 1
A relaxed structure of MnTc3, computed with GGA-PBE.

The structure in POSCAR format:
```
MnTc3
1.0
2.711 -3.804 0.000
2.711 3.804 0.000
0.000 0.000 2.714
Mn Tc
1 3
Direct
0.000 0.000 0.000 Mn
0.000 0.500 0.500 Tc
0.500 0.000 0.500 Tc
0.500 0.500 0.000 Tc
```

Values from the calculation:
The value obtained for the density of states at the Fermi level is 1.26 states/eV/atom. The space group is No. 65. The total moment comes out at 0.3287 μB per atom. The calculation puts the formation energy from the elements at 0.110 eV per atom. Its energy is -9.96 eV per atom.

***

# 2
A relaxed structure of MnTc, computed with GGA-PBE.

The structure in POSCAR format:
```
MnTc
1.0
2.652 0.000 0.000
0.000 2.652 0.000
0.000 0.000 7.242
Mn Tc
2 2
Direct
0.250 0.250 0.106 Mn
0.750 0.750 0.894 Mn
0.250 0.250 0.646 Tc
0.750 0.750 0.354 Tc
```

Values from the calculation:
The value obtained for the density of states at the Fermi level is 0.93 states/eV/atom. The space group is No. 129. The total moment comes out at 0.0000 μB per atom. The calculation puts the formation energy from the elements at 0.099 eV per atom. Its energy is -9.67 eV per atom.

***

# 3
A relaxed structure of MnTc3, computed with GGA-PBE.

The structure in POSCAR format:
```
MnTc3
1.0
4.324 2.496 0.883
-4.324 2.496 0.883
0.000 -4.993 0.883
Mn Tc
1 3
Direct
0.000 0.000 0.000 Mn
0.000 0.500 0.500 Tc
0.500 0.000 0.500 Tc
0.500 0.500 0.000 Tc
```

Values from the calculation:
The value obtained for the density of states at the Fermi level is 0.95 states/eV/atom. The space group is No. 166. The total moment comes out at 0.6579 μB per atom. The calculation puts the formation energy from the elements at 0.167 eV per atom. Its energy is -9.90 eV per atom.

***

# 4
A relaxed structure of MnTc, computed with GGA-PBE.

The structure in POSCAR format:
```
MnTc
1.0
4.364 -1.332 0.000
4.364 1.332 0.000
-0.850 0.000 4.451
Mn Tc
2 2
Direct
0.130 0.130 0.368 Mn
0.870 0.870 0.632 Mn
0.381 0.381 0.148 Tc
0.619 0.619 0.852 Tc
```

Values from the calculation:
The value obtained for the density of states at the Fermi level is 1.30 states/eV/atom. The space group is No. 12. The total moment comes out at 0.4852 μB per atom. The calculation puts the formation energy from the elements at 0.125 eV per atom. Its energy is -9.64 eV per atom.

***

# 5
A relaxed structure of MnTc3, computed with GGA-PBE.

The structure in POSCAR format:
```
MnTc3
1.0
-1.922 1.922 3.785
1.922 -1.922 3.785
1.922 1.922 -3.785
Mn Tc
1 3
Direct
0.000 0.000 0.000 Mn
0.250 0.750 0.500 Tc
0.500 0.500 0.000 Tc
0.750 0.250 0.500 Tc
```

Values from the calculation:
The value obtained for the density of states at the Fermi level is 1.17 states/eV/atom. The space group is No. 139. The total moment comes out at 0.4164 μB per atom. The calculation puts the formation energy from the elements at 0.086 eV per atom. Its energy is -9.98 eV per atom.

***

# 6
A relaxed structure of Mn8Tc, computed with GGA-PBE.

The structure in POSCAR format:
```
Mn8Tc
1.0
-3.786 3.786 1.763
3.786 -3.786 1.763
3.786 3.786 -1.763
Mn Tc
8 1
Direct
0.000 0.341 0.341 Mn
0.000 0.659 0.659 Mn
0.326 0.326 0.651 Mn
0.326 0.674 0.000 Mn
0.341 0.000 0.341 Mn
0.659 0.000 0.659 Mn
0.674 0.326 0.000 Mn
0.674 0.674 0.349 Mn
0.000 0.000 0.000 Tc
```

Values from the calculation:
The value obtained for the density of states at the Fermi level is 1.43 states/eV/atom. The space group is No. 139. The total moment comes out at 0.0029 μB per atom. The calculation puts the formation energy from the elements at 0.100 eV per atom. Its energy is -9.20 eV per atom.

***

# 7
A relaxed structure of MnTcTe2, computed with GGA-PBE.

The structure in POSCAR format:
```
MnTcTe2
1.0
0.000 3.430 3.430
3.430 0.000 3.430
3.430 3.430 0.000
Mn Tc Te
1 1 2
Direct
0.000 0.000 0.000 Mn
0.750 0.750 0.750 Tc
0.250 0.250 0.250 Te
0.500 0.500 0.500 Te
```

Values from the calculation:
The value obtained for the density of states at the Fermi level is 0.76 states/eV/atom. For the energy relative to the elements, uncorrected, the calculation gives 0.83 eV/atom. As for the energy above the most stable polymorph in this dataset: 910.1 meV per atom. The space group is No. 216. The total moment comes out at 1.1042 μB per atom. Its energy is -5.62 eV per atom.

***

# 8
A relaxed structure of Mn3TcTe, computed with GGA-PBE.

The structure in POSCAR format:
```
Mn3TcTe
1.0
4.715 0.000 0.000
0.000 4.715 0.000
0.000 0.000 4.715
Mn Tc Te
3 1 1
Direct
0.000 0.000 0.500 Mn
0.000 0.500 0.000 Mn
0.500 0.000 0.000 Mn
0.000 0.000 0.000 Tc
0.500 0.500 0.500 Te
```

Values from the calculation:
The value obtained for the density of states at the Fermi level is 1.56 states/eV/atom. For the energy relative to the elements, uncorrected, the calculation gives 1.03 eV/atom. As for the energy above the most stable polymorph in this dataset: 0.0 meV per atom. The space group is No. 221. The total moment comes out at 1.9413 μB per atom. Its energy is -7.17 eV per atom.

***

# 9
A relaxed structure of MnTcTe2, computed with GGA-PBE.

The structure in POSCAR format:
```
MnTcTe2
1.0
-1.992 1.992 4.970
1.992 -1.992 4.970
1.992 1.992 -4.970
Mn Tc Te
1 1 2
Direct
0.000 0.000 0.000 Mn
0.250 0.750 0.500 Tc
0.500 0.500 0.000 Te
0.750 0.250 0.500 Te
```

Values from the calculation:
The value obtained for the density of states at the Fermi level is 1.15 states/eV/atom. For the energy relative to the elements, uncorrected, the calculation gives 0.57 eV/atom. As for the energy above the most stable polymorph in this dataset: 648.4 meV per atom. The space group is No. 119. The total moment comes out at 0.6779 μB per atom. Its energy is -5.88 eV per atom.

***

# 10
A relaxed structure of MnTcTe2, computed with GGA-PBE.

The structure in POSCAR format:
```
MnTcTe2
1.0
3.703 0.000 0.000
0.000 4.165 0.000
-1.103 0.000 5.591
Mn Tc Te
1 1 2
Direct
0.000 0.000 0.000 Mn
0.500 0.000 0.500 Tc
0.302 0.500 0.744 Te
0.698 0.500 0.256 Te
```

Values from the calculation:
The value obtained for the density of states at the Fermi level is 0.77 states/eV/atom. For the energy relative to the elements, uncorrected, the calculation gives 0.58 eV/atom. As for the energy above the most stable polymorph in this dataset: 659.9 meV per atom. The space group is No. 10. The total moment comes out at 1.1702 μB per atom. Its energy is -5.87 eV per atom.

***

# 11
A relaxed structure of MnTcTe2, computed with GGA-PBE.

The structure in POSCAR format:
```
MnTcTe2
1.0
3.337 0.000 0.000
0.000 3.337 0.000
0.000 0.000 6.773
Mn Tc Te
1 1 2
Direct
0.000 0.000 0.000 Mn
0.000 0.000 0.500 Tc
0.500 0.500 0.254 Te
0.500 0.500 0.746 Te
```

Values from the calculation:
The value obtained for the density of states at the Fermi level is 0.93 states/eV/atom. For the energy relative to the elements, uncorrected, the calculation gives 0.32 eV/atom. As for the energy above the most stable polymorph in this dataset: 398.4 meV per atom. The space group is No. 123. The total moment comes out at 0.7577 μB per atom. Its energy is -6.13 eV per atom.

***

# 12
A relaxed structure of Mn2Tc2Te, computed with GGA-PBE.

The structure in POSCAR format:
```
Mn2Tc2Te
1.0
7.368 0.000 0.000
0.000 7.368 0.000
0.000 0.000 2.835
Mn Tc Te
4 4 2
Direct
0.132 0.368 0.000 Mn
0.368 0.868 0.000 Mn
0.632 0.132 0.000 Mn
0.868 0.632 0.000 Mn
0.150 0.650 0.500 Tc
0.350 0.150 0.500 Tc
0.650 0.850 0.500 Tc
0.850 0.350 0.500 Tc
0.000 0.000 0.500 Te
0.500 0.500 0.500 Te
```

Values from the calculation:
The value obtained for the density of states at the Fermi level is 1.00 states/eV/atom. For the energy relative to the elements, uncorrected, the calculation gives 0.42 eV/atom. As for the energy above the most stable polymorph in this dataset: 43.4 meV per atom. The space group is No. 127. The total moment comes out at 0.3348 μB per atom. Its energy is -8.02 eV per atom.